{
  "formula": "Ba2MnCl6",
  "functional": "PBE",
  "state": "relaxed",
  "lattice": [[6.8218, 0.0000, 0.0098], [0.0000, 8.0691, 0.0000], [0.3364, 0.0000, 9.6824]],
  "species": ["Ba", "Ba", "Ba", "Ba", "Cl", "Cl", "Cl", "Cl", "Cl", "Cl", "Cl", "Cl", "Cl", "Cl", "Cl", "Cl", "Mn", "Mn"],
  "frac_coords": [[0.0379, 0.6060, 0.7428], [0.4621, 0.1060, 0.7572], [0.5379, 0.8940, 0.2428], [0.9621, 0.3940, 0.2572], [0.3985, 0.5263, 0.2482], [0.6534, 0.2105, 0.0540], [0.3132, 0.8427, 0.5485], [0.3466, 0.7895, 0.9460], [0.6015, 0.4737, 0.7518], [0.8985, 0.9737, 0.7482], [0.8132, 0.6573, 0.0485], [0.6868, 0.1573, 0.4515], [0.1534, 0.2895, 0.5540], [0.1015, 0.0263, 0.2518], [0.8466, 0.7105, 0.4460], [0.1868, 0.3427, 0.9515], [0.0000, 0.0000, 0.5000], [0.5000, 0.5000, 0.0000]],
  "energy_ev_per_atom": -4.736,
  "formation_energy_uncorrected_ev_per_atom": -2.059,
  "sg": "P2_1/c",
  "de_polymorph_mev_per_atom": 0
}